# VIrN3 PBE relaxed
# - E (eV/cell) = -37.11
# - SG = No. 221
data_VIrN3
_cell_length_a 3.7732
_cell_length_b 3.7732
_cell_length_c 3.7732
_cell_angle_alpha 90.00
_cell_angle_beta 90.00
_cell_angle_gamma 90.00
_space_group_name_H-M_alt 'P 1'
_space_group_IT_number 1
_space_group_name_Hall 'P 1'
loop_
_atom_site_label
_atom_site_type_symbol
_atom_site_fract_x
_atom_site_fract_y
_atom_site_fract_z
Ir1 Ir 0.5000 0.5000 0.5000
V1 V 0.0000 0.0000 0.0000
N1 N 0.5000 0.0000 0.0000
N2 N 0.0000 0.5000 0.0000
N3 N 0.0000 0.0000 0.5000